Below is a geometry-optimized DyCdSb2 structure, with properties calculated at the PBE level.

The final energy is -0.287 Ry/atom. The offset from the most stable computed form comes out at 0 meV per atom. As for the uncorrected formation energy: -0.468 eV/atom. For the total magnetization, the calculation gives 0.00 μB/f.u.

The space group is P4/mmm (No. 123) and the conventional cell measures 4.978, 4.978 and 4.145 Å, with angles of 90.00, 90.00 and 90.00 degrees. Symmetry generates all atoms from Dy at (0.000, 0.000, 0.000), Cd at (0.500, 0.500, 0.000) and Sb at (0.000, 0.500, 0.500).